# 1
Below is a relaxed structure of LaMg2Ru, with properties calculated at the PBE level.

Values from the calculation:
Calculated formation energy (meV/atom): 229

Cell: 3.1203 3.1203 30.8758 Å, 90.00 90.00 120.00°
Space group R-3m (No. 166, hexagonal axes)
Inequivalent atoms, fractional coordinates:
La 0.0000 0.0000 0.0000 (multiplicity 3)
Mg 0.0000 0.0000 0.2327 (multiplicity 6)
Ru 0.0000 0.0000 0.5000 (multiplicity 3)

# 2
Below is a relaxed structure of La6Si2SCl3, with properties calculated at the PBE level.

Values from the calculation:
Uncorrected formation energy (eV/f.u.): -17.8

Cell: 18.673 4.296 8.521 Å, 90.00 103.67 90.00°
Space group C2/m (No. 12)
Inequivalent atoms, fractional coordinates:
La 0.003 0.000 0.232 (multiplicity 4)
La 0.159 0.500 0.090 (multiplicity 4)
La 0.171 0.500 0.573 (multiplicity 4)
Si 0.164 0.000 0.329 (multiplicity 4)
S 0.000 0.500 0.000 (multiplicity 2)
Cl 0.000 0.500 0.500 (multiplicity 2)
Cl 0.171 0.000 0.835 (multiplicity 4)

# 3
Below is a relaxed structure of NaBiAsO4, with properties calculated at the PBE level.

Values from the calculation:
Uncorrected formation energy (eV/f.u.): -9.1

Cell: 6.415 6.869 9.348 Å, 90.00 90.00 90.00°
Space group Imma (No. 74)
Inequivalent atoms, fractional coordinates:
Na 0.000 0.000 0.000 (multiplicity 4)
Bi 0.250 0.250 0.250 (multiplicity 4)
As 0.000 0.250 0.614 (multiplicity 4)
O 0.000 0.040 0.722 (multiplicity 8)
O 0.223 0.250 0.505 (multiplicity 8)

# 4
Below is a relaxed structure of Ba2InS4, with properties calculated at the PBE level.

Values from the calculation:
Uncorrected formation energy (eV/f.u.): -9.5

Cell: 7.619 6.063 9.274 Å, 90.00 107.88 90.00°
Space group P2_1/m (No. 11)
Inequivalent atoms, fractional coordinates:
Ba 0.224 0.250 0.441 (multiplicity 2)
Ba 0.262 0.250 0.932 (multiplicity 2)
In 0.238 0.750 0.185 (multiplicity 2)
S 0.071 0.750 0.374 (multiplicity 2)
S 0.080 0.750 0.913 (multiplicity 2)
S 0.499 0.024 0.259 (multiplicity 4)

# 5
Below is a relaxed structure of Ca2Sn2Pd, with properties calculated at the PBE level.

Values from the calculation:
Calculated formation energy (meV/atom): -665

Cell: 7.246 7.246 4.925 Å, 90.00 90.00 90.00°
Space group P4/mbm (No. 127)
Inequivalent atoms, fractional coordinates:
Ca 0.166 0.334 0.000 (multiplicity 4)
Sn 0.145 0.645 0.500 (multiplicity 4)
Pd 0.000 0.000 0.500 (multiplicity 2)

# 6
Below is a relaxed structure of GaCuSn2, with properties calculated at the PBE level.

Values from the calculation:
Calculated formation energy (meV/atom): 170

Cell: 4.625 4.625 4.001 Å, 90.00 90.00 90.00°
Space group P4/mmm (No. 123)
Inequivalent atoms, fractional coordinates:
Ga 0.000 0.000 0.000 (multiplicity 1)
Cu 0.500 0.500 0.000 (multiplicity 1)
Sn 0.000 0.500 0.500 (multiplicity 2)